GeTe2Au | PBE | relaxed

abc: 4.074 4.074 7.591
angles: 74.43 74.43 60.00
Fractional positions:
Ge1 0.500 0.500 0.501
Te1 0.078 0.078 0.766
Te2 0.254 0.254 0.237
Au1 0.668 0.668 0.997

Density of states at the Fermi level = 0.58 states/eV per atom
E_form (uncorrected) = 1.12 kcal/mol of atoms
Total DFT energy (no corrections) = -3.496 eV per atom
Total magnetization = 0.00 μB per formula unit


Ge2Te2Au | PBE | relaxed

abc: 6.036 8.571 7.827
angles: 131.57 90.00 110.62
Fractional positions:
Ge1 0.715 0.219 0.605
Ge2 0.496 0.781 0.895
Ge3 0.285 0.781 0.395
Ge4 0.504 0.219 0.105
Te1 0.793 0.667 0.015
Te2 0.127 0.333 0.485
Te3 0.207 0.333 0.985
Te4 0.873 0.667 0.515
Au1 0.685 0.000 0.750
Au2 0.315 0.000 0.250

Density of states at the Fermi level = 0.35 states/eV per atom
E_form (uncorrected) = 0.09 kcal/mol of atoms
Total DFT energy (no corrections) = -3.755 eV per atom
Total magnetization = 0.00 μB per formula unit
Relative energy among the computed polymorphs = 0.000 eV per atom


Ge2TeAu | PBE | relaxed

abc: 3.966 3.966 7.249
angles: 74.13 74.13 60.00
Fractional positions:
Ge1 0.070 0.070 0.791
Ge2 0.261 0.261 0.217
Te1 0.501 0.501 0.498
Au1 0.669 0.669 0.994

Density of states at the Fermi level = 0.45 states/eV per atom
E_form (uncorrected) = 1.89 kcal/mol of atoms
Total DFT energy (no corrections) = -3.831 eV per atom
Total magnetization = 0.00 μB per formula unit


Ge5Te5Au | PBE | relaxed

abc: 5.788 7.188 8.178
angles: 108.46 90.00 113.74
Fractional positions:
Ge1 0.822 0.644 0.157
Ge2 0.852 0.704 0.684
Ge3 0.500 0.000 0.000
Ge4 0.148 0.296 0.316
Ge5 0.178 0.356 0.843
Te1 0.677 0.354 0.338
Te2 0.657 0.313 0.816
Te3 0.000 0.000 0.500
Te4 0.343 0.687 0.184
Te5 0.323 0.646 0.662
Au1 0.000 0.000 0.000

Density of states at the Fermi level = 0.58 states/eV per atom
E_form (uncorrected) = 0.39 kcal/mol of atoms
Total DFT energy (no corrections) = -3.808 eV per atom
Total magnetization = 0.00 μB per formula unit